LaNbCrRh2: relaxed, GGA-PBE.

Cell lengths 4.738, 4.738, 5.097 Å; angles 90.00, 90.00, 90.00 degrees
Positions (direct):
La 0.000 0.000 0.000
Nb 0.000 0.000 0.500
Cr 0.500 0.500 0.500
Rh 0.000 0.500 0.000
Rh 0.500 0.000 0.000

Output
ΔH_f (0 K) = 1.96 eV per atom
Spin magnetization = 1.21 μB per cell
E = -0.4341 Ry/atom
Symmetry = P4/mmm